1.
The following is a DFT calculation (PBE-GGA) of a relaxed Ta2Nb2Mo6W crystal.

Computed properties:
ΔE_f: 0.221 eV/atom
Uncorrected energy: -10.8505 eV per atom
D(E_F): 10.7 states/eV/f.u.
Volume: 17.59 Å³/atom

a b c (Å): 4.5037 13.3922 6.4173
angles (deg): 90.00 90.13 90.00
Last column: nearest neighbours and their distance in Å.
Space group C2/m (No. 12)
Symmetry-distinct sites (fractional):
Ta: 0.0000 0.1651 0.0000 x4  8 Mo 2.76-2.82
Nb: 0.0000 0.1664 0.5000 x4  8 Mo 2.72-2.81
Mo: 0.9999 0.3382 0.2496 x8  1 W 2.69, 3 Ta 2.76-2.82, 3 Nb 2.76-2.81
Mo: 0.0025 0.0000 0.7433 x4  2 Nb 2.72, 2 Ta 2.76, 2 W 2.78-2.80
W: 0.0000 0.5000 0.0000 x2  8 Mo 2.69-2.80


2.
The following is a DFT calculation (PBE-GGA) of a relaxed Ta2Nb6Mo2W crystal.

Computed properties:
ΔE_f: 0.899 eV/atom
Uncorrected energy: -9.8958 eV per atom
D(E_F): 19.4 states/eV/f.u.
Volume: 20.83 Å³/atom

a b c (Å): 5.4279 5.4279 26.9362
angles (deg): 90.00 90.00 120.00
Last column: nearest neighbours and their distance in Å.
Space group R-3m (No. 166, hexagonal axes)
Symmetry-distinct sites (fractional):
Ta: 0.0000 0.0000 0.1664 x6  6 Nb 2.84-2.85, 3 Ta 3.13
Nb: 0.0049 0.5025 0.4119 x18  1 W 2.65, 4 Nb 2.67-2.75, 2 Ta 2.84-2.85
Mo: 0.0000 0.0000 0.3502 x6  9 Nb 3.00-3.18, 3 W 3.17, 3 Mo 3.26
W: 0.0000 0.0000 0.0000 x3  6 Nb 2.65


3.
The following is a DFT calculation (PBE-GGA) of a relaxed TaNbMoW2 crystal.

Computed properties:
ΔE_f: 0.985 eV/atom
Uncorrected energy: -10.7471 eV per atom
D(E_F): 5.8 states/eV/f.u.
Volume: 19.67 Å³/atom

a b c (Å): 5.2072 7.6960 9.8166
angles (deg): 90.00 90.00 90.00
Last column: nearest neighbours and their distance in Å.
Space group Cmme (No. 67)
Symmetry-distinct sites (fractional):
Ta: 0.0000 0.2500 0.2403 x4  2 W 2.57
Nb: 0.2500 0.0000 0.0000 x4  2 Nb 2.60, 4 W 2.86
Mo: 0.0000 0.0000 0.5000 x4  2 W 2.53, 2 Mo 2.60
W: 0.0000 0.0842 0.7487 x8  1 Mo 2.53, 1 W 2.55, 1 Ta 2.57


4.
The following is a DFT calculation (PBE-GGA) of a relaxed Ta2NbMoW crystal.

Computed properties:
ΔE_f: 1.628 eV/atom
Offset from the most stable computed form: 1284.4 meV per atom
Uncorrected energy: -9.8843 eV per atom
D(E_F): 7.5 states/eV/f.u.
Volume: 21.93 Å³/atom

a b c (Å): 4.8510 4.8510 4.6591
angles (deg): 90.00 90.00 90.00
Last column: nearest neighbours and their distance in Å.
Space group P4/mmm (No. 123)
Symmetry-distinct sites (fractional):
Ta: 0.0000 0.5000 0.0000 x2  2 W 2.43
Nb: 0.0000 0.0000 0.5000 x1  8 Ta 3.36, 4 Mo 3.43
Mo: 0.5000 0.5000 0.5000 x1  2 W 2.33
W: 0.5000 0.5000 0.0000 x1  2 Mo 2.33, 4 Ta 2.43